# 1
Below is a relaxed Ca2SnPbN crystal, with properties calculated at the PBE-GGA level.

a = 4.8405 Å, b = 4.8405 Å, c = 5.0684 Å
α = 90.00°, β = 90.00°, γ = 90.00°
Closest atoms and distances in Å follow each position.
Fractional positions:
N: 0.0000 0.0000 0.0000  4 Ca 2.42, 2 Pb 2.53
Ca: 0.0000 0.5000 0.0000  2 N 2.42
Ca: 0.5000 0.0000 0.0000  2 N 2.42
Pb: 0.0000 0.0000 0.5000  2 N 2.53
Sn: 0.5000 0.5000 0.5000  4 Pb 3.42, 8 Ca 3.50

## Properties
Raw formation energy (eV per atom): -0.47
Total magnetization (μB/cell): 0.00


# 2
Below is a relaxed Y2Ti2AlRh5 crystal, with properties calculated at the PBE-GGA level.

a = 3.1398 Å, b = 10.4808 Å, c = 10.4808 Å
α = 90.00°, β = 90.00°, γ = 90.00°
Closest atoms and distances in Å follow each position.
Fractional positions:
Y: 0.0000 0.6734 0.1734  1 Ti 2.86, 6 Rh 3.01-3.15, 2 Y 3.14
Y: 0.0000 0.3266 0.8266  1 Ti 2.86, 6 Rh 3.01-3.15, 2 Y 3.14
Y: 0.0000 0.8266 0.6734  1 Ti 2.86, 6 Rh 3.01-3.15, 2 Y 3.14
Y: 0.0000 0.1734 0.3266  1 Ti 2.86, 6 Rh 3.01-3.15, 2 Y 3.14
Rh: 0.5000 0.0513 0.8052  2 Ti 2.54, 2 Al 2.63
Rh: 0.5000 0.0000 0.5000  4 Ti 2.53
Rh: 0.5000 0.8052 0.9487  2 Ti 2.54, 2 Al 2.63
Rh: 0.5000 0.4487 0.3052  2 Ti 2.54, 2 Al 2.63
Rh: 0.5000 0.5000 0.0000  4 Ti 2.53
Rh: 0.5000 0.5513 0.6948  2 Ti 2.54, 2 Al 2.63
Rh: 0.5000 0.6948 0.4487  2 Ti 2.54, 2 Al 2.63
Rh: 0.5000 0.3052 0.5513  2 Ti 2.54, 2 Al 2.63
Rh: 0.5000 0.9487 0.1948  2 Ti 2.54, 2 Al 2.63
Rh: 0.5000 0.1948 0.0513  2 Ti 2.54, 2 Al 2.63
Ti: 0.0000 0.8664 0.3664  6 Rh 2.53-2.54
Ti: 0.0000 0.6336 0.8664  6 Rh 2.53-2.54
Ti: 0.0000 0.1336 0.6336  6 Rh 2.53-2.54
Ti: 0.0000 0.3664 0.1336  6 Rh 2.53-2.54
Al: 0.0000 0.5000 0.5000  8 Rh 2.63
Al: 0.0000 0.0000 0.0000  8 Rh 2.63

## Properties
Total magnetization (μB/cell): 0.00
Energy (eV/atom): -7.61


# 3
Below is a relaxed Pr6GeSe4 crystal, with properties calculated at the PBE-GGA level.

a = 4.2479 Å, b = 7.2526 Å, c = 21.5245 Å
α = 90.00°, β = 90.00°, γ = 107.03°
Closest atoms and distances in Å follow each position.
Fractional positions:
Se: 0.5854 0.1708 0.8732  6 Pr 2.93-3.03
Se: 0.8612 0.7223 0.5406  6 Pr 2.97-3.01
Se: 0.1388 0.2777 0.4594  6 Pr 2.97-3.01
Se: 0.4146 0.8292 0.3732  6 Pr 2.93-3.03
Se: 0.5854 0.1708 0.6268  6 Pr 2.93-3.03
Se: 0.8612 0.7223 0.9594  6 Pr 2.97-3.01
Se: 0.4146 0.8292 0.1268  6 Pr 2.93-3.03
Se: 0.1388 0.2777 0.0406  6 Pr 2.97-3.01
Pr: 0.2248 0.4496 0.9129  5 Se 3.00-3.01
Pr: 0.5000 0.0000 0.0000  6 Se 2.98-3.00
Pr: 0.9430 0.8860 0.8321  3 Se 2.97-3.03, 2 Ge 3.17
Pr: 0.7752 0.5504 0.0871  5 Se 3.00-3.01
Pr: 0.7752 0.5504 0.4129  5 Se 3.00-3.01
Pr: 0.9430 0.8860 0.6679  3 Se 2.97-3.03, 2 Ge 3.17
Pr: 0.0570 0.1140 0.1679  3 Se 2.97-3.03, 2 Ge 3.17
Pr: 0.5000 0.0000 0.5000  6 Se 2.98-3.00
Pr: 0.2248 0.4496 0.5871  5 Se 3.00-3.01
Pr: 0.3244 0.6488 0.2500  2 Se 2.93, 2 Ge 3.03
Pr: 0.6756 0.3512 0.7500  2 Se 2.93, 2 Ge 3.03
Pr: 0.0570 0.1140 0.3321  3 Se 2.97-3.03, 2 Ge 3.17
Ge: 0.3313 0.6626 0.7500  6 Pr 3.03-3.17
Ge: 0.6687 0.3374 0.2500  6 Pr 3.03-3.17

## Properties
Raw formation energy (eV per atom): -1.50
Total magnetization (μB/cell): 0.00


# 4
Below is a relaxed CeInPb crystal, with properties calculated at the PBE-GGA level.

a = 3.5147 Å, b = 4.5278 Å, c = 6.1245 Å
α = 111.69°, β = 90.00°, γ = 90.00°
Closest atoms and distances in Å follow each position.
Fractional positions:
In: 0.0000 0.8745 0.2490  4 Pb 3.22, 4 Ce 3.43, 2 In 3.51
Ce: 0.5000 0.2094 0.9187  3 Pb 3.26-3.35, 4 In 3.43, 2 Ce 3.51
Pb: 0.5000 0.5033 0.5065  4 In 3.22, 3 Ce 3.26-3.35, 2 Pb 3.51

## Properties
Total magnetization (μB/cell): 1.15
Energy (eV/atom): -4.23